Record 1
{
  "formula": "Cd3Pb",
  "functional": "PBEsol",
  "state": "optimized geometry",
  "delta_e_f_ev_per_atom": 0.066,
  "lattice": [[3.356, 0.000, 0.000], [0.000, 5.583, 0.033], [-1.678, -1.024, 4.992]],
  "species": ["Cd", "Cd", "Pb", "Cd"],
  "fractional_positions": [[0.500, 0.500, 0.000], [0.757, 0.271, 0.514], [0.000, 0.000, 0.000], [0.243, 0.729, 0.486]]
}

---

Record 2
{
  "formula": "Cd2Pb",
  "functional": "PBEsol",
  "state": "optimized geometry",
  "delta_e_f_ev_per_atom": 0.070,
  "lattice": [[-0.543, -2.055, 2.593], [2.958, 1.545, -0.324], [-2.581, 5.788, 4.049]],
  "species": ["Pb", "Cd", "Cd"],
  "fractional_positions": [[0.000, 0.000, 0.000], [0.333, 0.667, 0.348], [0.667, 0.333, 0.652]]
}

---

Record 3
{
  "formula": "CdPb5",
  "functional": "PBEsol",
  "state": "optimized geometry",
  "delta_e_f_ev_per_atom": 0.055,
  "lattice": [[5.499, 0.000, 0.000], [0.000, 6.013, 0.000], [0.000, -3.006, 5.207]],
  "species": ["Pb", "Pb", "Cd", "Pb", "Pb", "Pb"],
  "fractional_positions": [[0.500, 0.333, 0.667], [0.000, 0.326, 0.326], [0.500, 0.000, 0.000], [0.000, 0.674, 0.000], [0.500, 0.667, 0.333], [0.000, 0.000, 0.674]]
}